# Y2SnH | Alexandria | PBE | optimized geometry
# V	86.9	Å³/f.u.
# M_tot	0.00	μB per cell
# ρ	5.684	g/cm3
# polymorph energy (0 for the lowest one)	0	meV/atom
# E	-23.07	eV per formula unit
data_Y2SnH
_space_group_name_H-M_alt 'P 4/n m m'
_space_group_IT_number 129
_cell_length_a 4.522
_cell_length_b 4.522
_cell_length_c 8.501
_cell_angle_alpha 90.00
_cell_angle_beta 90.00
_cell_angle_gamma 90.00
loop_
_space_group_symop_operation_xyz
'x,y,z'
'-x,-y,-z'
'-y+1/2,x,z'
'y+1/2,-x,-z'
'-x+1/2,-y+1/2,z'
'x+1/2,y+1/2,-z'
'y,-x+1/2,z'
'-y,x+1/2,-z'
'x+1/2,-y,-z'
'-x+1/2,y,z'
'-y,-x,-z'
'y,x,z'
'-x,y+1/2,-z'
'x,-y+1/2,z'
'y+1/2,x+1/2,-z'
'-y+1/2,-x+1/2,z'
loop_
_atom_site_label
_atom_site_fract_x
_atom_site_fract_y
_atom_site_fract_z
_atom_site_occupancy
Y1 0.250 0.250 0.151 1
Y2 0.250 0.750 0.500 1
Sn1 0.250 0.250 0.781 1
H1 0.250 0.250 0.419 1